1.
## TeAsS2N (PBE)

Data for an optimized crystal structure of TeAsS2N.

a b c (Å): 4.9607 4.9607 3.6560
angles (deg): 90.00 90.00 90.00
Element x y z (fractional)
As 0.0000 0.0000 0.0000
N 0.0000 0.0000 0.5000
Te 0.5000 0.5000 0.5000
S 0.5000 0.0000 0.0000
S 0.0000 0.5000 0.0000

Results
- M_tot (μB/f.u.) = 0.00
- symmetry = P4/mmm (123)
- ΔE_f (raw) (eV/f.u.) = 4.2
- excess energy over the best structure of this formula in the dataset (meV/atom) = 0

***

2.
## BaTlCu2F8 (PBE)

Data for an optimized crystal structure of BaTlCu2F8.

a b c (Å): 5.7185 5.7185 6.9617
angles (deg): 114.25 114.25 90.00
Element x y z (fractional)
F 0.1684 0.6181 0.8910
Tl 0.0000 0.0000 0.0000
F 0.7271 0.8316 0.1090
Cu 0.2500 0.7500 0.5000
F 0.0310 0.9373 0.6431
F 0.0627 0.3879 0.3569
F 0.7227 0.2729 0.8910
F 0.3819 0.2773 0.1090
Ba 0.7500 0.2500 0.5000
F 0.6121 0.7058 0.6431
Cu 0.5000 0.5000 0.0000
F 0.2942 0.9690 0.3569

Results
- M_tot (μB/f.u.) = 1.01
- symmetry = I-4 (82)
- ΔE_f (raw) (eV/f.u.) = -25.5

***

3.
## LiSmEr2Cd4 (PBE)

Data for an optimized crystal structure of LiSmEr2Cd4.

a b c (Å): 5.1756 5.1756 9.1052
angles (deg): 73.49 73.49 60.00
Element x y z (fractional)
Sm 0.0000 0.0000 0.0000
Er 0.2474 0.2474 0.2577
Cd 0.6169 0.6169 0.1492
Cd 0.3831 0.3831 0.8508
Cd 0.8729 0.8729 0.3814
Li 0.5000 0.5000 0.5000
Er 0.7526 0.7526 0.7423
Cd 0.1271 0.1271 0.6186

Results
- M_tot (μB/f.u.) = 0.00
- symmetry = R-3m (166)
- ΔE_f (meV per atom) = -264

***

4.
## Y2NiHgC (PBE)

Data for an optimized crystal structure of Y2NiHgC.

a b c (Å): 5.0645 5.0645 3.7399
angles (deg): 90.00 90.00 90.00
Element x y z (fractional)
C 0.0000 0.0000 0.0000
Hg 0.5000 0.5000 0.5000
Y 0.0000 0.5000 0.0000
Ni 0.0000 0.0000 0.5000
Y 0.5000 0.0000 0.0000

Results
- M_tot (μB/f.u.) = 0.00
- symmetry = P4/mmm (123)
- ΔE_f (meV per atom) = -393